## Li2FeCu (PBE)

Data for a geometry-optimized Li2FeCu structure.

DFT total energy   -0.275 Ry per atom

Lattice parameters (Å, degrees): 4.146 4.146 4.146 60.00 60.00 60.00
Site moments in Bohr magnetons follow the coordinates.
Fractional coordinates of all 4 atoms:
1 Fe 0.000 0.000 0.000  2.85
2 Cu 0.500 0.500 0.500  0.04
3 Li 0.250 0.250 0.250  -0.06
4 Li 0.750 0.750 0.750  -0.06



## Sm3AlF (PBE)

Data for a geometry-optimized Sm3AlF structure.

Uncorrected formation energy   -1026 meV per atom

Lattice parameters (Å, degrees): 4.915 4.915 4.915 90.00 90.00 90.00
Fractional coordinates of all 5 atoms:
1 Al 0.500 0.500 0.500
2 Sm 0.000 0.500 0.000
3 Sm 0.000 0.000 0.500
4 Sm 0.500 0.000 0.000
5 F 0.000 0.000 0.000



## GaTeIrN2 (PBE)

Data for a geometry-optimized GaTeIrN2 structure.

Uncorrected formation energy   790 meV per atom

Lattice parameters (Å, degrees): 3.871 3.871 5.827 90.00 90.00 90.00
Fractional coordinates of all 5 atoms:
1 Ir 0.000 0.000 0.000
2 Te 0.000 0.000 0.500
3 Ga 0.500 0.500 0.500
4 N 0.000 0.500 0.000
5 N 0.500 0.000 0.000



## Be2PtCl (PBE)

Data for a geometry-optimized Be2PtCl structure.

Uncorrected formation energy   -175 meV per atom

Lattice parameters (Å, degrees): 6.912 6.912 6.912 25.36 25.36 25.36
Fractional coordinates of all 4 atoms:
1 Be 0.004 0.004 0.004
2 Be 0.496 0.496 0.496
3 Pt 0.750 0.750 0.750
4 Cl 0.250 0.250 0.250



## SrThZnPt (PBE)

Data for a geometry-optimized SrThZnPt structure.

DFT total energy   -0.336 Ry per atom

Lattice parameters (Å, degrees): 5.208 5.208 5.208 60.00 60.00 60.00
Fractional coordinates of all 4 atoms:
1 Sr 0.500 0.500 0.500
2 Zn 0.250 0.250 0.250
3 Pt 0.750 0.750 0.750
4 Th 0.000 0.000 0.000



## Ac3HgGe (PBE)

Data for a geometry-optimized Ac3HgGe structure.

DFT total energy   -0.283 Ry per atom

Lattice parameters (Å, degrees): 5.253 6.906 10.728 80.70 90.11 67.70
Fractional coordinates of all 10 atoms:
1 Ac 0.256 0.876 0.601
2 Ac 0.541 0.306 0.368
3 Ac 0.560 0.271 0.783
4 Ac 0.275 0.841 0.015
5 Ac 0.820 0.747 0.326
6 Ac 0.996 0.401 0.057
7 Hg 0.986 0.416 0.594
8 Hg 0.830 0.731 0.790
9 Ge 0.639 0.115 0.076
10 Ge 0.177 0.033 0.307



## RbNa4Cd (PBE)

Data for a geometry-optimized RbNa4Cd structure.

DFT total energy   -0.083 Ry per atom

Lattice parameters (Å, degrees): 6.944 6.944 6.944 60.00 60.00 60.00
Fractional coordinates of all 6 atoms:
1 Na 0.627 0.627 0.119
2 Na 0.627 0.119 0.627
3 Na 0.627 0.627 0.627
4 Na 0.119 0.627 0.627
5 Rb 0.250 0.250 0.250
6 Cd 0.000 0.000 0.000



## BaCd4Ag2 (PBE)

Data for a geometry-optimized BaCd4Ag2 structure.

DFT total energy   -0.131 Ry per atom

Lattice parameters (Å, degrees): 5.811 6.130 6.130 77.02 61.71 61.71
Fractional coordinates of all 7 atoms:
1 Ba 0.000 0.000 0.000
2 Cd 0.693 0.000 0.614
3 Cd 0.307 0.000 0.386
4 Cd 0.307 0.386 0.000
5 Cd 0.693 0.614 0.000
6 Ag 0.750 0.500 0.500
7 Ag 0.250 0.500 0.500



## LaCr2Mo (PBE)

Data for a geometry-optimized LaCr2Mo structure.

DFT total energy   -0.571 Ry per atom

Lattice parameters (Å, degrees): 4.658 4.658 8.904 74.84 74.84 90.00
Site moments in Bohr magnetons follow the coordinates.
Fractional coordinates of all 8 atoms:
1 Cr 0.375 0.125 0.250  0.67
2 Cr 0.375 0.625 0.250  0.68
3 Cr 0.375 0.625 0.750  0.79
4 Cr 0.875 0.625 0.750  0.82
5 Mo 0.500 0.500 0.000  -0.42
6 Mo 0.250 0.750 0.500  -0.42
7 La 0.000 0.000 0.000  0.01
8 La 0.750 0.250 0.500  0.01



## KSnPO5 (PBE)

Data for a geometry-optimized KSnPO5 structure.

Uncorrected formation energy   -1986 meV per atom

Lattice parameters (Å, degrees): 5.834 5.834 7.311 105.14 105.14 105.59
Fractional coordinates of all 16 atoms:
1 K 0.342 0.658 0.250
2 K 0.658 0.342 0.750
3 Sn 0.000 0.000 0.500
4 Sn 0.000 0.000 0.000
5 P 0.691 0.309 0.250
6 P 0.309 0.691 0.750
7 O 0.075 0.925 0.250
8 O 0.925 0.075 0.750
9 O 0.876 0.301 0.129
10 O 0.124 0.699 0.871
11 O 0.699 0.124 0.371
12 O 0.301 0.876 0.629
13 O 0.769 0.586 0.399
14 O 0.231 0.414 0.601
15 O 0.414 0.231 0.101
16 O 0.586 0.769 0.899



## Sr2CdInH (PBE)

Data for a geometry-optimized Sr2CdInH structure.

DFT total energy   -0.174 Ry per atom

Lattice parameters (Å, degrees): 5.459 5.459 4.475 90.00 90.00 90.00
Fractional coordinates of all 5 atoms:
1 Sr 0.000 0.500 0.000
2 Sr 0.500 0.000 0.000
3 Cd 0.500 0.500 0.500
4 H 0.000 0.000 0.000
5 In 0.000 0.000 0.500



## BaTb2In (PBE)

Data for a geometry-optimized BaTb2In structure.

DFT total energy   -0.263 Ry per atom

Lattice parameters (Å, degrees): 3.725 3.725 10.141 90.00 90.00 90.00
Fractional coordinates of all 4 atoms:
1 Tb 0.000 0.000 0.808
2 Tb 0.000 0.000 0.192
3 Ba 0.500 0.500 0.500
4 In 0.500 0.500 0.000



Number 1: total magnetization 2.59 μB/cell. Number 2: total magnetization 0.00 μB/cell. Number 3: total magnetization 0.00 μB/cell. Number 4: total magnetization 0.00 μB/cell. Number 5: total magnetization 0.00 μB/cell. Number 6: total magnetization 0.00 μB/cell. Number 7: total magnetization 0.00 μB/cell. Number 8: total magnetization 0.00 μB/cell. Number 9: total magnetization 2.48 μB/cell. Number 10: total magnetization 0.00 μB/cell. Number 11: total magnetization 0.00 μB/cell. Number 12: total magnetization 0.00 μB/cell.